Material: Cd2TcOs
Method: DFT, GGA-PBEsol
State: relaxed

Cell lengths 5.210, 5.210, 2.725 Å; angles 90.00, 90.00, 117.82 degrees
Fractional positions:
Cd: 0.000 0.500 0.000
Cd: 0.500 0.000 0.000
Tc: 0.000 0.000 0.500
Os: 0.500 0.500 0.500

- N(E_F) (states/eV per atom) = 1.383
- total magnetization (μB per atom) = 0.0001
- V (Å³ per atom) = 16.358
- ρ (g/cm³) = 13.02
- E_form (eV/f.u.) = 2.95
- space group = No. 65